# 1
Tm6Sc3Sn, optimized geometry, DFT PBE; energy relative to the elements = -0.080 eV per atom; electronic total energy = -5.062 eV per atom; SG = P2_1/m, No. 11
1.0
12.292 0.000 0.000
0.000 3.445 0.000
-4.514 0.000 13.150
Tm Sc Sn
12 6 2
Cartesian
0.479 0.861 2.696 Tm
-1.631 2.584 10.266 Tm
0.309 0.861 7.947 Tm
1.650 2.584 5.257 Tm
3.516 2.584 2.555 Tm
0.022 0.861 12.827 Tm
7.756 2.584 0.323 Tm
4.262 0.861 10.594 Tm
6.128 0.861 7.893 Tm
7.469 2.584 5.203 Tm
9.409 0.861 2.883 Tm
7.300 2.584 10.454 Tm
-1.463 2.584 5.433 Sc
1.485 2.584 0.048 Sc
3.333 2.584 7.879 Sc
4.445 0.861 5.270 Sc
6.294 0.861 13.101 Sc
9.241 0.861 7.716 Sc
1.545 2.584 10.516 Sn
6.233 0.861 2.633 Sn

=====

# 2
DyScAu, optimized geometry, DFT PBE; energy above the lowest structure with this stoichiometry = 216 meV per atom; energy relative to the elements = -0.419 eV per atom; electronic total energy = -5.156 eV per atom; SG = F-43m, No. 216
1.0
0.000 3.416 3.416
3.416 0.000 3.416
3.416 3.416 0.000
Dy Sc Au
1 1 1
Cartesian
0.000 0.000 0.000 Dy
3.416 3.416 3.416 Sc
1.708 1.708 1.708 Au

=====

# 3
AcNd2PuN4, optimized geometry, DFT PBE; electronic total energy = -8.846 eV per atom; SG = P2/m, No. 10; formation energy from raw total energies = -1.19 eV per atom
1.0
6.337 0.000 0.000
0.000 3.671 0.000
-2.104 0.000 6.023
Ac Nd Pu N
1 2 1 4
Cartesian
0.000 0.000 0.000 Ac
2.116 0.000 3.012 Nd
3.168 1.836 0.000 Nd
-1.052 1.836 3.012 Pu
-0.018 0.000 4.391 N
0.986 1.836 1.650 N
3.247 1.836 4.373 N
4.250 0.000 1.632 N

=====

# 4
Nd8Ni3IrI4, optimized geometry, DFT PBE; electronic total energy = -5.153 eV per atom; SG = C2/m, No. 12; formation energy from raw total energies = -0.74 eV per atom
1.0
7.208 -4.156 0.000
7.208 4.156 0.000
-4.812 0.000 8.101
Nd Ni Ir I
8 3 1 4
Cartesian
3.592 2.090 5.541 Nd
-0.006 0.000 5.516 Nd
2.388 0.000 2.560 Nd
6.011 2.090 2.559 Nd
3.592 -2.090 5.541 Nd
7.216 0.000 5.540 Nd
9.609 0.000 2.585 Nd
6.011 -2.090 2.559 Nd
-2.406 0.000 4.050 Ni
1.198 2.078 4.050 Ni
1.198 -2.078 4.050 Ni
4.802 0.000 4.050 Ir
0.000 0.000 0.000 I
3.604 2.078 0.000 I
3.604 -2.078 0.000 I
7.208 0.000 0.000 I

=====

# 5
Ac7AgIr3, optimized geometry, DFT PBE; energy relative to the elements = -0.434 eV per atom; electronic total energy = -5.724 eV per atom; SG = C2/m, No. 12
1.0
4.901 -5.538 0.000
4.901 5.538 0.000
-2.230 0.000 7.093
Ac Ag Ir
7 1 3
Cartesian
0.000 0.000 0.000 Ac
2.689 2.250 1.900 Ac
1.666 0.000 5.525 Ac
4.882 2.250 5.193 Ac
2.689 -2.250 1.900 Ac
5.905 0.000 1.569 Ac
4.882 -2.250 5.193 Ac
-1.115 0.000 3.547 Ag
4.901 2.476 0.000 Ir
3.785 0.000 3.547 Ir
4.901 -2.476 0.000 Ir

=====

# 6
Tb4PmBi2, optimized geometry, DFT PBE; energy relative to the elements = 0.288 eV per atom; electronic total energy = -4.146 eV per atom; SG = I4/mmm, No. 139
1.0
-2.687 2.687 8.418
2.687 -2.687 8.418
2.687 2.687 -8.418
Tb Pm Bi
4 1 2
Cartesian
2.687 0.000 0.000 Tb
0.000 0.000 3.052 Tb
0.000 2.687 0.000 Tb
0.000 0.000 13.784 Tb
0.000 0.000 0.000 Pm
0.000 0.000 6.153 Bi
0.000 0.000 10.683 Bi

=====

# 7
Li3LaS3, optimized geometry, DFT PBE; electronic total energy = -4.912 eV per atom; SG = R-3, No. 148; formation energy from raw total energies = -1.62 eV per atom
1.0
3.589 2.072 6.709
-3.589 2.072 6.709
0.000 -4.144 6.709
Li La S
6 2 6
Cartesian
-2.446 0.218 9.197 Li
-1.412 -2.009 10.930 Li
1.034 -2.228 9.197 Li
-1.034 2.228 10.931 Li
1.412 2.009 9.197 Li
2.446 -0.218 10.931 Li
0.000 0.000 6.712 La
0.000 0.000 13.415 La
-1.315 -1.914 8.456 S
-2.315 0.182 11.671 S
-1.000 2.095 8.456 S
1.000 -2.095 11.671 S
2.315 -0.182 8.456 S
1.315 1.914 11.671 S

=====

# 8
Fe3C, optimized geometry, DFT PBE; energy relative to the elements = 0.850 eV per atom; electronic total energy = -7.803 eV per atom; SG = Fm-3m, No. 225
1.0
0.000 2.658 2.658
2.658 0.000 2.658
2.658 2.658 0.000
Fe C
3 1
Cartesian
0.000 0.000 0.000 Fe
1.329 1.329 1.329 Fe
3.987 3.987 3.987 Fe
2.658 2.658 2.658 C